# Li7Cd5Pb (PBE-GGA, optimized geometry)
data_Li7Cd5Pb
_cell_length_a 5.6710
_cell_length_b 9.7843
_cell_length_c 9.7931
_cell_angle_alpha 90.00
_cell_angle_beta 90.00
_cell_angle_gamma 90.00
_space_group_name_H-M_alt 'I m m 2'
_space_group_IT_number 44
_space_group_name_Hall 'I 2 -2'
loop_
_atom_site_label
_atom_site_fract_x
_atom_site_fract_y
_atom_site_fract_z
Li1 0.0000 0.0000 0.0000
Li2 0.0000 0.0000 0.3061
Li3 0.0000 0.3147 0.1248
Li4 0.0000 0.3398 0.6293
Li5 0.0000 0.5000 0.3534
Cd1 0.0000 0.5000 0.8801
Cd2 0.2489 0.2620 0.3786
Pb1 0.0000 0.0000 0.6520
# - electronic total energy (eV/atom) = -1.841
# - DOS(E_F) (states/eV/cell) = 7.7

***

# Li5Cd2Pb5 (PBE-GGA, optimized geometry)
data_Li5Cd2Pb5
_cell_length_a 15.3361
_cell_length_b 3.3324
_cell_length_c 11.8859
_cell_angle_alpha 90.00
_cell_angle_beta 104.30
_cell_angle_gamma 90.00
_space_group_name_H-M_alt 'C 1 2/m 1'
_space_group_IT_number 12
_space_group_name_Hall '-C 2y'
loop_
_atom_site_label
_atom_site_fract_x
_atom_site_fract_y
_atom_site_fract_z
Li1 0.0000 0.0000 0.0000
Li2 0.1545 0.0000 0.4762
Li3 0.2194 0.5000 0.1024
Cd1 0.0837 0.5000 0.2602
Pb1 0.0000 0.5000 0.5000
Pb2 0.1078 0.5000 0.8686
Pb3 0.2284 0.5000 0.6824
# - electronic total energy (eV/atom) = -2.620
# - DOS(E_F) (states/eV/cell) = 4.4

***

# Li2Cd2Pb3 (PBE-GGA, optimized geometry)
data_Li2Cd2Pb3
_cell_length_a 5.1652
_cell_length_b 5.1652
_cell_length_c 23.9185
_cell_angle_alpha 90.00
_cell_angle_beta 90.00
_cell_angle_gamma 120.00
_space_group_name_H-M_alt 'R -3 m'
_space_group_IT_number 166
_space_group_name_Hall '-R 3 2"'
loop_
_atom_site_label
_atom_site_fract_x
_atom_site_fract_y
_atom_site_fract_z
Li1 0.0000 0.0000 0.1236
Cd1 0.0000 0.0000 0.3971
Pb1 0.0000 0.0000 0.0000
Pb2 0.0000 0.0000 0.2451
# - electronic total energy (eV/atom) = -2.440
# - DOS(E_F) (states/eV/cell) = 9.5